The following is a PBE calculation of an optimized crystal structure of ScCo3B2, from Alexandria.

Values from the calculation:
total moment: 0.00 μB per atom
DFT formation energy: -297 meV per atom
calculated volume: 10.240 Å³ per atom
distance to the lowest polymorph of the same formula: 23.7 kJ per mole of atoms
ρ: 6.6 g/cm3

Cell: 5.095 5.095 4.755 Å, 90.00 90.00 84.64°
Sites, in units of the cell vectors:
Sc 0.126 0.874 0.750
Sc 0.874 0.126 0.250
Co 0.029 0.597 0.250
Co 0.403 0.971 0.250
Co 0.478 0.522 0.750
Co 0.522 0.478 0.250
Co 0.597 0.029 0.750
Co 0.971 0.403 0.750
B 0.279 0.279 0.000
B 0.279 0.279 0.500
B 0.721 0.721 0.000
B 0.721 0.721 0.500